{
  "formula": "MgP2OF",
  "functional": "SCAN",
  "state": "single point on PBEsol structure",
  "formation_energy_uncorrected_kcal_per_mol_atoms": 8.61,
  "vol_a3_per_atom": 16.7,
  "total_energy_ev_per_atom": -6.74,
  "density_g_cm3": 2.416,
  "n_ef_per_ev_fu": 3.60,
  "lattice_angstrom": [[4.7782, 0.0000, 0.0000], [0.0000, 4.7782, 0.0000], [0.0000, 0.0000, 3.6498]],
  "species": ["Mg", "P", "P", "O", "F"],
  "frac_coords": [[0.0000, 0.0000, 0.0000], [0.0000, 0.5000, 0.0000], [0.5000, 0.0000, 0.0000], [0.0000, 0.0000, 0.5000], [0.5000, 0.5000, 0.5000]]
}